1.
A plane-wave DFT calculation with PBE was carried out for an optimized crystal structure of NaCaN2O.

Calculated values
Uncorrected formation energy, eV per atom: 0.68
Volume, A^3/atom: 19.90

abc: 4.758 4.758 4.394
angles: 90.00 90.00 90.00
Sites, in units of the cell vectors:
N  0.500  0.000  0.000
N  0.000  0.500  0.000
Na  0.500  0.500  0.500
O  0.000  0.000  0.500
Ca  0.000  0.000  0.000

***

2.
A plane-wave DFT calculation with PBE was carried out for an optimized crystal structure of Sr2ScMn.

Calculated values
Formation energy, meV/atom: 568
Volume, A^3/atom: 31.53

abc: 5.629 5.629 5.629
angles: 60.00 60.00 60.00
Sites, in units of the cell vectors:
Sr  0.000  0.000  0.000
Sr  0.250  0.250  0.250
Sc  0.750  0.750  0.750
Mn  0.500  0.500  0.500

***

3.
A plane-wave DFT calculation with PBE was carried out for an optimized crystal structure of La2TeAs2.

Calculated values
Uncorrected formation energy, eV per atom: -1.18
Volume, A^3/atom: 28.53

abc: 4.191 4.191 8.646
angles: 75.98 75.98 90.00
Sites, in units of the cell vectors:
As  0.250  0.750  0.500
As  0.750  0.250  0.500
La  0.384  0.384  0.231
La  0.616  0.616  0.769
Te  0.000  0.000  0.000

***

4.
A plane-wave DFT calculation with PBE was carried out for an optimized crystal structure of CaZn3Au3.

Calculated values
Formation energy, meV/atom: -359
Volume, A^3/atom: 18.92

abc: 4.247 8.472 8.495
angles: 119.93 90.00 90.00
Sites, in units of the cell vectors:
Ca  0.250  0.666  0.333
Ca  0.750  0.334  0.667
Au  0.750  0.954  0.368
Au  0.750  0.413  0.046
Au  0.250  0.046  0.632
Au  0.250  0.587  0.954
Au  0.750  0.633  0.586
Au  0.250  0.367  0.414
Zn  0.250  0.996  0.203
Zn  0.750  0.004  0.797
Zn  0.250  0.206  0.003
Zn  0.750  0.204  0.208
Zn  0.250  0.796  0.792
Zn  0.750  0.794  0.997

***

- The highest volume belongs to which entry?
  Sr2ScMn

***

- Look up the volume of the fourth one.
  18.92 A^3/atom

***

- Look up the volume of the second one.
  31.53 A^3/atom

***

- Among the records above, which one has the lowest volume?
  CaZn3Au3